First-principles (GGA+U) data for crystalline Cs2BiPWO8 at its relaxed geometry, as listed in the Alexandria database.

## Properties
- E_tot (Ry/atom) = -0.4762
- M_tot (μB per cell) = 0.00
- SG = Ibca

a b c (Å): 7.254 12.787 13.133
angles (deg): 119.13 106.03 90.00
Fractional coordinates of all 52 atoms:
Cs 0.311 0.925 0.682
Cs 0.689 0.075 0.318
O 0.327 0.056 0.113
O 0.575 0.342 0.985
O 0.767 0.563 0.408
O 0.592 0.606 0.782
P 0.750 0.926 0.000
O 0.233 0.437 0.592
O 0.190 0.676 0.782
W 0.656 0.406 0.312
O 0.140 0.063 0.408
O 0.285 0.556 0.113
O 0.590 0.857 0.015
Bi 0.750 0.163 0.000
O 0.810 0.324 0.218
O 0.908 0.824 0.218
P 0.250 0.074 0.000
O 0.860 0.937 0.592
O 0.910 0.842 0.985
Cs 0.189 0.243 0.318
O 0.267 0.845 0.408
Cs 0.371 0.257 0.682
P 0.750 0.426 0.000
O 0.827 0.057 0.113
Bi 0.250 0.837 0.000
Cs 0.129 0.575 0.318
Cs 0.871 0.425 0.682
O 0.640 0.345 0.408
Cs 0.629 0.743 0.318
O 0.425 0.658 0.015
O 0.075 0.643 0.985
O 0.785 0.557 0.113
O 0.733 0.155 0.592
O 0.092 0.176 0.782
Bi 0.250 0.337 0.000
O 0.310 0.894 0.218
O 0.360 0.655 0.592
W 0.344 0.594 0.688
O 0.173 0.943 0.887
O 0.090 0.158 0.015
O 0.215 0.443 0.887
O 0.673 0.944 0.887
O 0.715 0.444 0.887
Bi 0.750 0.663 0.000
W 0.844 0.094 0.688
Cs 0.811 0.757 0.682
O 0.408 0.394 0.218
W 0.156 0.906 0.312
O 0.925 0.357 0.015
O 0.690 0.106 0.782
O 0.410 0.143 0.985
P 0.250 0.574 0.000